Record 1
The following is a DFT calculation (GGA-PBE) of a relaxed structure of Sc2PRh.

Lattice parameters (Å, degrees): 4.421 4.421 3.469 90.00 90.00 90.00
Space group P4/mmm (No. 123)
Inequivalent atoms, fractional coordinates:
Sc 0.000 0.500 0.000 (multiplicity 2)
P 0.000 0.000 0.500 (multiplicity 1)
Rh 0.500 0.500 0.500 (multiplicity 1)

density = 5.48 g/cm3
energy of formation from the pure elements = -3.8 eV per formula unit

---

Record 2
The following is a DFT calculation (GGA-PBE) of a relaxed structure of Pr4GaSiI2.

Lattice parameters (Å, degrees): 7.659 4.370 8.098 90.00 108.12 90.00
Space group P2/m (No. 10)
Inequivalent atoms, fractional coordinates:
Pr 0.232 0.000 0.203 (multiplicity 2)
Pr 0.261 0.500 0.793 (multiplicity 2)
Ga 0.500 0.000 0.000 (multiplicity 1)
Si 0.000 0.500 0.000 (multiplicity 1)
I 0.000 0.000 0.500 (multiplicity 1)
I 0.500 0.500 0.500 (multiplicity 1)

density = 5.90 g/cm3

---

Record 3
The following is a DFT calculation (GGA-PBE) of a relaxed structure of Tm2MnNi12P3.

Lattice parameters (Å, degrees): 8.4008 8.4008 11.7069 90.00 90.00 120.00
Space group R-3m (No. 166, hexagonal axes)
Inequivalent atoms, fractional coordinates:
Tm 0.0000 0.0000 0.1510 (multiplicity 6)
Mn 0.0000 0.0000 0.5000 (multiplicity 3)
Ni 0.0040 0.5020 0.1831 (multiplicity 18)
Ni 0.0150 0.5075 0.3857 (multiplicity 18)
P 0.0000 0.5000 0.0000 (multiplicity 9)

density = 8.29 g/cm3
energy of formation from the pure elements = -3.0 eV per formula unit

---

Record 4
The following is a DFT calculation (GGA-PBE) of a relaxed structure of YSiAs2.

Lattice parameters (Å, degrees): 4.015 4.004 5.955 90.00 107.73 90.00
Space group Pm (No. 6)
Inequivalent atoms, fractional coordinates:
Y 0.000 0.000 0.000 (multiplicity 1)
Si 0.587 0.500 0.243 (multiplicity 1)
As 0.430 0.500 0.834 (multiplicity 1)
As 0.779 0.000 0.456 (multiplicity 1)

density = 4.86 g/cm3

---

Record 5
The following is a DFT calculation (GGA-PBE) of a relaxed structure of BaCaB.

Lattice parameters (Å, degrees): 4.219 5.039 10.782 82.60 79.25 65.70
Space group P1 (No. 1)
Inequivalent atoms, fractional coordinates:
Ba 0.000 0.000 0.000 (multiplicity 1)
Ba 0.428 0.502 0.671 (multiplicity 1)
Ca 0.189 0.415 0.233 (multiplicity 1)
Ca 0.828 0.964 0.418 (multiplicity 1)
B 0.486 0.810 0.248 (multiplicity 1)
B 0.538 0.589 0.368 (multiplicity 1)

density = 3.05 g/cm3
energy of formation from the pure elements = 0.5 eV per formula unit
energy above the most stable polymorph in this dataset = 4 kJ/mol of formula units

---

Record 6
The following is a DFT calculation (GGA-PBE) of a relaxed structure of Ce3TmTh.

Lattice parameters (Å, degrees): 3.510 6.010 14.170 82.57 88.70 76.09
Space group P-1 (No. 2)
Inequivalent atoms, fractional coordinates:
Ce 0.016 0.482 0.363 (multiplicity 2)
Ce 0.123 0.206 0.055 (multiplicity 2)
Ce 0.247 0.785 0.484 (multiplicity 2)
Tm 0.317 0.954 0.732 (multiplicity 2)
Th 0.434 0.630 0.152 (multiplicity 2)

density = 9.48 g/cm3
energy of formation from the pure elements = 0.4 eV per formula unit

---

Record 7
The following is a DFT calculation (GGA-PBE) of a relaxed structure of LaHo4Er10.

Lattice parameters (Å, degrees): 12.777 12.777 6.468 90.00 90.00 90.00
Space group I4/m (No. 87)
Inequivalent atoms, fractional coordinates:
La 0.000 0.000 0.000 (multiplicity 2)
Ho 0.067 0.826 0.500 (multiplicity 8)
Er 0.000 0.500 0.250 (multiplicity 4)
Er 0.129 0.291 0.249 (multiplicity 16)

density = 7.77 g/cm3
energy of formation from the pure elements = 8.4 eV per formula unit

---

Record 8
The following is a DFT calculation (GGA-PBE) of a relaxed structure of LaZnB.

Lattice parameters (Å, degrees): 4.087 4.004 7.433 90.00 98.85 90.00
Space group Pm (No. 6)
Inequivalent atoms, fractional coordinates:
La 0.000 0.000 0.000 (multiplicity 1)
La 0.163 0.000 0.486 (multiplicity 1)
Zn 0.453 0.500 0.810 (multiplicity 1)
Zn 0.580 0.500 0.243 (multiplicity 1)
B 0.672 0.500 0.536 (multiplicity 1)
B 0.931 0.500 0.721 (multiplicity 1)

density = 5.94 g/cm3
energy of formation from the pure elements = -0.5 eV per formula unit
energy above the most stable polymorph in this dataset = 44 kJ/mol of formula units

---

Record 9
The following is a DFT calculation (GGA-PBE) of a relaxed structure of Cd2TeW.

Lattice parameters (Å, degrees): 3.703 4.534 10.867 90.00 90.00 90.00
Space group Cmmm (No. 65)
Inequivalent atoms, fractional coordinates:
Cd 0.000 0.000 0.205 (multiplicity 4)
Te 0.000 0.500 0.500 (multiplicity 2)
W 0.000 0.500 0.000 (multiplicity 2)

density = 9.76 g/cm3

---

Record 10
The following is a DFT calculation (GGA-PBE) of a relaxed structure of ZrCoAg2.

Lattice parameters (Å, degrees): 2.8986 2.8986 28.7480 90.00 90.00 120.00
Space group R-3m (No. 166, hexagonal axes)
Inequivalent atoms, fractional coordinates:
Zr 0.0000 0.0000 0.0000 (multiplicity 3)
Co 0.0000 0.0000 0.5000 (multiplicity 3)
Ag 0.0000 0.0000 0.2425 (multiplicity 6)

density = 8.71 g/cm3
energy of formation from the pure elements = 1.3 eV per formula unit
energy above the most stable polymorph in this dataset = 124 kJ/mol of formula units

---

Record 11
The following is a DFT calculation (GGA-PBE) of a relaxed structure of Dy9Ho3Er2.

Lattice parameters (Å, degrees): 6.434 6.476 11.424 104.62 103.83 94.92
Space group P1 (No. 1)
Inequivalent atoms, fractional coordinates:
Dy 0.000 0.000 0.000 (multiplicity 1)
Dy 0.005 0.330 0.289 (multiplicity 1)
Dy 0.181 0.116 0.760 (multiplicity 1)
Dy 0.225 0.558 0.102 (multiplicity 1)
Dy 0.235 0.898 0.432 (multiplicity 1)
Dy 0.451 0.780 0.915 (multiplicity 1)
Dy 0.643 0.331 0.986 (multiplicity 1)
Dy 0.659 0.617 0.433 (multiplicity 1)
Dy 0.782 0.160 0.495 (multiplicity 1)
Ho 0.452 0.139 0.215 (multiplicity 1)
Ho 0.650 0.975 0.709 (multiplicity 1)
Ho 0.782 0.782 0.201 (multiplicity 1)
Er 0.343 0.450 0.603 (multiplicity 1)
Er 0.892 0.534 0.777 (multiplicity 1)

density = 8.61 g/cm3
energy of formation from the pure elements = 1.5 eV per formula unit

---

Record 12
The following is a DFT calculation (GGA-PBE) of a relaxed structure of LiHo12Tl6.

Lattice parameters (Å, degrees): 13.4533 13.4533 12.1497 90.00 90.00 120.00
Space group R-3 (No. 148, hexagonal axes)
Inequivalent atoms, fractional coordinates:
Li 0.0000 0.0000 0.0000 (multiplicity 3)
Ho 0.0350 0.2094 0.3913 (multiplicity 18)
Ho 0.0513 0.2104 0.8899 (multiplicity 18)
Tl 0.0478 0.2670 0.6470 (multiplicity 18)

density = 8.40 g/cm3
energy of formation from the pure elements = 2.3 eV per formula unit

---

| no. | total energy (eV/atom) |
| --- | --- |
| 1 | -7.32 |
| 2 | -4.70 |
| 3 | -5.93 |
| 4 | -5.87 |
| 5 | -3.37 |
| 6 | -5.87 |
| 7 | -4.03 |
| 8 | -4.44 |
| 9 | -3.92 |
| 10 | -5.00 |
| 11 | -4.49 |
| 12 | -3.62 |